Entry 1:
Pr2AlSiI2 after structural relaxation. Source: the Open Quantum Materials Database, functional PBE.

abc: 4.240 4.240 12.578
angles: 90.00 90.00 120.00
Element x y z (fractional)
Pr1 0.000 0.000 0.000
Pr2 0.000 0.000 0.338
Al1 0.667 0.333 0.157
Si1 0.333 0.667 0.181
I1 0.333 0.667 0.831
I2 0.667 0.333 0.507

Properties
**Total DFT energy (no corrections)**: -4.693 eV per atom
**Spin magnetization**: 0.0017 μB per atom
**ρ**: 5008 kg/m³


Entry 2:
RbZn2Sn2 after structural relaxation. Source: the Open Quantum Materials Database, functional PBE.

abc: 6.822 6.822 6.822
angles: 139.09 139.09 59.24
Element x y z (fractional)
Rb1 0.000 0.000 0.000
Zn1 0.250 0.750 0.500
Zn2 0.750 0.250 0.500
Sn1 0.374 0.374 0.000
Sn2 0.626 0.626 0.000

Properties
**Total DFT energy (no corrections)**: -2.397 eV per atom
**ρ**: 5587 kg/m³


Entry 3:
AlCoPdW after structural relaxation. Source: the Open Quantum Materials Database, functional PBE.

abc: 4.287 4.287 4.287
angles: 60.00 60.00 60.00
Element x y z (fractional)
Al1 0.000 0.000 0.000
Co1 0.250 0.250 0.250
Pd1 0.500 0.500 0.500
W1 0.750 0.750 0.750

Properties
**Offset from the most stable computed form**: 58 kJ/mol of formula units
**Spin magnetization**: 0.0322 μB per atom
**ρ**: 11212 kg/m³


Entry 4:
NpZn after structural relaxation. Source: the Open Quantum Materials Database, functional PBE.

abc: 4.511 6.774 4.805
angles: 90.00 90.00 90.00
Element x y z (fractional)
Np1 0.000 0.000 0.000
Np2 0.000 0.226 0.588
Np3 0.000 0.774 0.588
Np4 0.500 0.000 0.506
Zn1 0.000 0.500 0.096
Zn2 0.500 0.294 0.016
Zn3 0.500 0.500 0.496
Zn4 0.500 0.706 0.016

Properties
**Spin magnetization**: 0.9492 μB per atom
**ρ**: 13682 kg/m³
**Formation energy**: 0.17 eV per atom